First-principles (PBE-GGA) data for an optimized crystal structure of CrCuTe2, as listed in Alexandria.

**Total magnetic moment**: 3.30 μB per formula unit
**Formation energy (no corrections)**: 0.01 eV per atom

a = 3.659 Å, b = 3.659 Å, c = 7.050 Å
α = 90.00°, β = 90.00°, γ = 90.00°
Space group P4mm (No. 99)
Unique sites:
1 Cr 0.000 0.000 0.000 x1
2 Cu 0.500 0.500 0.228 x1
3 Te 0.000 0.000 0.375 x1
4 Te 0.500 0.500 0.854 x1